1.
Here is a geometry-optimized Ga2AgAs2 structure from Alexandria. Energies are from GGA-PBE.

Unit cell a=7.366 b=7.366 c=3.672 alpha=90.00 beta=90.00 gamma=90.00
Sites, in units of the cell vectors:
As: 0.342 0.842 0.000
As: 0.842 0.658 0.000
As: 0.658 0.158 0.000
As: 0.158 0.342 0.000
Ga: 0.144 0.644 0.500
Ga: 0.644 0.856 0.500
Ga: 0.856 0.356 0.500
Ga: 0.356 0.144 0.500
Ag: 0.000 0.000 0.000
Ag: 0.500 0.500 0.000

Results
D(E_F), states/eV per atom: 0.34
Calculated formation energy, meV per atom: 135
Total moment, μB/cell: 0.0
Theoretical density, g/cm3: 6.6

=====

2.
Here is a geometry-optimized CaNClF2 structure from Alexandria. Energies are from GGA-PBE.

Unit cell a=4.752 b=4.752 c=3.489 alpha=90.00 beta=90.00 gamma=90.00
Sites, in units of the cell vectors:
N: 0.000 0.000 0.500
Ca: 0.500 0.500 0.500
F: 0.000 0.500 0.000
F: 0.500 0.000 0.000
Cl: 0.000 0.000 0.000

Results
D(E_F), states/eV per atom: 0.53
Total moment, μB/cell: 0.0
Theoretical density, g/cm3: 2.7
E_form (uncorrected), eV per atom: -0.608

=====

3.
Here is a geometry-optimized Tl3AuBr structure from Alexandria. Energies are from GGA-PBE.

Unit cell a=6.063 b=6.063 c=6.063 alpha=90.00 beta=90.00 gamma=90.00
Sites, in units of the cell vectors:
Tl: 0.000 0.500 0.000
Tl: 0.000 0.000 0.500
Tl: 0.500 0.000 0.000
Au: 0.500 0.500 0.500
Br: 0.000 0.000 0.000

Results
D(E_F), states/eV per atom: 0.39
Total moment, μB/cell: 0.0
Theoretical density, g/cm3: 6.6
E_form (uncorrected), eV per atom: 0.170

=====

4.
Here is a geometry-optimized TbHoNi structure from Alexandria. Energies are from GGA-PBE.

Unit cell a=3.399 b=3.399 c=6.660 alpha=104.79 beta=104.79 gamma=90.00
Sites, in units of the cell vectors:
Ni: 0.669 0.669 0.337
Tb: 0.035 0.035 0.069
Ho: 0.297 0.297 0.594

Results
D(E_F), states/eV per atom: 0.83
Calculated formation energy, meV per atom: -244
Total moment, μB/cell: 0.0
Theoretical density, g/cm3: 8.9

=====

5.
Here is a geometry-optimized LiPmZnF6 structure from Alexandria. Energies are from GGA-PBE.

Unit cell a=5.016 b=5.016 c=9.920 alpha=90.00 beta=90.00 gamma=90.00
Sites, in units of the cell vectors:
Li: 0.500 0.500 0.504
Li: 0.000 0.000 0.004
Pm: 0.500 0.500 0.167
Pm: 0.000 0.000 0.667
Zn: 0.500 0.500 0.834
Zn: 0.000 0.000 0.334
F: 0.202 0.798 0.488
F: 0.798 0.202 0.488
F: 0.298 0.298 0.988
F: 0.702 0.702 0.988
F: 0.181 0.819 0.169
F: 0.819 0.181 0.169
F: 0.319 0.319 0.669
F: 0.681 0.681 0.669
F: 0.790 0.210 0.841
F: 0.210 0.790 0.841
F: 0.710 0.710 0.341
F: 0.290 0.290 0.341

Results
D(E_F), states/eV per atom: 0.00
Total moment, μB/cell: 0.0
Theoretical density, g/cm3: 4.4
E_form (uncorrected), eV per atom: -3.189

=====

6.
Here is a geometry-optimized AlTeOF2 structure from Alexandria. Energies are from GGA-PBE.

Unit cell a=4.770 b=4.770 c=4.123 alpha=90.00 beta=90.00 gamma=90.00
Sites, in units of the cell vectors:
Te: 0.000 0.000 0.000
Al: 0.500 0.500 0.500
O: 0.000 0.000 0.500
F: 0.000 0.500 0.000
F: 0.500 0.000 0.000

Results
D(E_F), states/eV per atom: 0.28
Total moment, μB/cell: 0.0
Theoretical density, g/cm3: 3.7
E_form (uncorrected), eV per atom: -0.912

=====

Look up the theoretical density of the sixth one. 3.7 g/cm3

=====

Look up the D(E_F) of the fifth one. 0.00 states/eV per atom

=====

Which of these has the highest theoretical density? TbHoNi

=====

What did the third record say?
Here is a geometry-optimized Tl3AuBr structure from Alexandria. Energies are from GGA-PBE.

Unit cell a=6.063 b=6.063 c=6.063 alpha=90.00 beta=90.00 gamma=90.00
Sites, in units of the cell vectors:
Tl: 0.000 0.500 0.000
Tl: 0.000 0.000 0.500
Tl: 0.500 0.000 0.000
Au: 0.500 0.500 0.500
Br: 0.000 0.000 0.000

Results
D(E_F), states/eV per atom: 0.39
Total moment, μB/cell: 0.0
Theoretical density, g/cm3: 6.6
E_form (uncorrected), eV per atom: 0.170